No. 1
{"formula": "GaAgB3", "functional": "PBE-GGA", "state": "optimized geometry", "lattice": [[4.239, 0.000, 0.000], [0.000, 4.239, 0.000], [0.000, 0.000, 4.239]], "species": ["Ga", "Ag", "B", "B", "B"], "fractional_positions": [[0.000, 0.000, 0.000], [0.500, 0.500, 0.500], [0.000, 0.500, 0.500], [0.500, 0.000, 0.500], [0.500, 0.500, 0.000]], "dos_at_fermi_per_ev_atom": 0.4148, "magnetic_moment_mub_per_atom": 0.000, "spacegroup": "Pm-3m, No. 221", "polymorph_energy_kj_per_mol_fu": 33.3, "formation_enthalpy_0k_kcal_per_mol_atoms": 45.386}

=====

No. 2
{"formula": "RePdAu3", "functional": "PBE-GGA", "state": "optimized geometry", "lattice": [[4.982, 0.000, 0.000], [0.000, 4.982, 0.000], [0.000, 0.000, 4.982]], "species": ["Re", "Pd", "Au", "Au", "Au"], "fractional_positions": [[0.000, 0.000, 0.000], [0.500, 0.500, 0.500], [0.000, 0.500, 0.500], [0.500, 0.000, 0.500], [0.500, 0.500, 0.000]], "dos_at_fermi_per_ev_atom": 0.6126, "magnetic_moment_mub_per_atom": 0.978, "spacegroup": "Pm-3m, No. 221", "polymorph_energy_kj_per_mol_fu": 113.9, "formation_enthalpy_0k_kcal_per_mol_atoms": 38.610}

=====

No. 3
{"formula": "ScTaAs2", "functional": "PBE-GGA", "state": "optimized geometry", "lattice": [[1.852, -2.284, 0.000], [1.852, 2.284, 0.000], [0.000, 0.000, 10.207]], "species": ["Sc", "Ta", "As", "As"], "fractional_positions": [[0.000, 0.000, 0.000], [0.500, 0.500, 0.232], [0.000, 0.000, 0.426], [0.500, 0.500, 0.795]], "dos_at_fermi_per_ev_atom": 0.2899, "magnetic_moment_mub_per_atom": 0.000, "spacegroup": "Cmm2, No. 35", "polymorph_energy_kj_per_mol_fu": 256.4, "formation_enthalpy_0k_kcal_per_mol_atoms": -4.902}

=====

No. 4
{"formula": "CeReB4", "functional": "PBE-GGA", "state": "optimized geometry", "lattice": [[6.011, 0.000, 0.000], [0.000, 11.648, 0.000], [0.000, 0.000, 3.677]], "species": ["Ce", "Ce", "Ce", "Ce", "Re", "Re", "Re", "Re", "B", "B", "B", "B", "B", "B", "B", "B", "B", "B", "B", "B", "B", "B", "B", "B"], "fractional_positions": [[0.126, 0.150, 0.000], [0.374, 0.650, 0.000], [0.626, 0.350, 0.000], [0.874, 0.850, 0.000], [0.136, 0.409, 0.000], [0.364, 0.909, 0.000], [0.636, 0.091, 0.000], [0.864, 0.591, 0.000], [0.025, 0.691, 0.500], [0.112, 0.546, 0.500], [0.138, 0.969, 0.500], [0.215, 0.815, 0.500], [0.285, 0.315, 0.500], [0.362, 0.469, 0.500], [0.388, 0.046, 0.500], [0.475, 0.191, 0.500], [0.525, 0.809, 0.500], [0.612, 0.954, 0.500], [0.638, 0.531, 0.500], [0.715, 0.685, 0.500], [0.785, 0.185, 0.500], [0.862, 0.031, 0.500], [0.888, 0.454, 0.500], [0.975, 0.309, 0.500]], "dos_at_fermi_per_ev_atom": 0.3526, "magnetic_moment_mub_per_atom": 0.000, "spacegroup": "Pbam, No. 55", "polymorph_energy_kj_per_mol_fu": 0.0, "formation_enthalpy_0k_kcal_per_mol_atoms": -13.337}